Here is a relaxed ScBe2Pt crystal from Alexandria via LeMat-Bulk. Energies are from PBE.

abc: 5.293 5.303 3.943
angles: 90.00 90.00 90.00
Space group Cmmm (No. 65)
Inequivalent atoms, fractional coordinates:
Sc: 0.000 0.000 0.000 x2
Be: 0.250 0.250 0.500 x4
Pt: 0.000 0.500 0.000 x2

Output
Density of states at the Fermi level in states/eV/f.u.: 2.40
Total DFT energy (no corrections) in eV/atom: -5.292
E_form in eV/atom: -0.34
Relative energy among the computed polymorphs in eV per formula unit: 1.26